Below is SnBr3 after structural relaxation, with properties calculated at the PBE level.

Lattice parameters (Å, degrees): 11.332 11.332 11.332 21.16 21.16 21.16
Positions (direct):
Sn (0.000, 0.000, 0.000)
Br (0.387, 0.387, 0.387)
Br (0.500, 0.500, 0.500)
Br (0.613, 0.613, 0.613)

Summary:
electronic total energy = -10.2 eV per cell
D(E_F) = 5.1 states/eV per cell



Below is SnBr3 after structural relaxation, with properties calculated at the PBE level.

Lattice parameters (Å, degrees): 13.834 13.834 13.834 13.51 13.51 13.51
Positions (direct):
Sn (0.000, 0.000, 0.000)
Br (0.070, 0.070, 0.070)
Br (0.500, 0.500, 0.500)
Br (0.930, 0.930, 0.930)

Summary:
electronic total energy = -8.6 eV per cell
D(E_F) = 5.3 states/eV per cell



Below is SnBr2 after structural relaxation, with properties calculated at the PBE level.

Lattice parameters (Å, degrees): 7.096 7.096 4.470 90.00 90.00 90.00
Positions (direct):
Sn (0.000, 0.000, 0.000)
Sn (0.500, 0.500, 0.500)
Br (0.201, 0.201, 0.500)
Br (0.299, 0.701, 0.000)
Br (0.701, 0.299, 0.000)
Br (0.799, 0.799, 0.500)

Summary:
electronic total energy = -19.2 eV per cell
D(E_F) = 0.0 states/eV per cell



Below is SnBr2 after structural relaxation, with properties calculated at the PBE level.

Lattice parameters (Å, degrees): 13.671 13.671 4.342 90.00 90.00 120.00
Positions (direct):
Sn (0.056, 0.392, 0.250)
Sn (0.336, 0.944, 0.250)
Sn (0.392, 0.336, 0.750)
Sn (0.608, 0.664, 0.250)
Sn (0.664, 0.056, 0.750)
Sn (0.944, 0.608, 0.750)
Br (0.048, 0.768, 0.250)
Br (0.137, 0.586, 0.750)
Br (0.232, 0.280, 0.250)
Br (0.280, 0.048, 0.750)
Br (0.414, 0.551, 0.750)
Br (0.449, 0.863, 0.750)
Br (0.551, 0.137, 0.250)
Br (0.586, 0.449, 0.250)
Br (0.720, 0.952, 0.250)
Br (0.768, 0.720, 0.750)
Br (0.863, 0.414, 0.250)
Br (0.952, 0.232, 0.750)

Summary:
electronic total energy = -57.7 eV per cell
D(E_F) = 0.0 states/eV per cell



Below is SnBr3 after structural relaxation, with properties calculated at the PBE level.

Lattice parameters (Å, degrees): 7.642 7.642 7.642 97.65 97.65 137.21
Positions (direct):
Sn (0.000, 0.000, 0.000)
Sn (0.750, 0.250, 0.500)
Br (0.250, 0.750, 0.500)
Br (0.375, 0.008, 0.133)
Br (0.500, 0.500, 0.000)
Br (0.758, 0.625, 0.633)
Br (0.875, 0.242, 0.867)
Br (0.992, 0.125, 0.367)

Summary:
electronic total energy = -21.8 eV per cell
D(E_F) = 4.5 states/eV per cell



Below is SnBr2 after structural relaxation, with properties calculated at the PBE level.

Lattice parameters (Å, degrees): 8.412 4.242 11.985 90.00 90.00 90.00
Positions (direct):
Sn (0.105, 0.250, 0.150)
Sn (0.395, 0.750, 0.650)
Sn (0.605, 0.250, 0.350)
Sn (0.895, 0.750, 0.850)
Br (0.039, 0.250, 0.717)
Br (0.183, 0.750, 0.966)
Br (0.317, 0.250, 0.466)
Br (0.461, 0.750, 0.217)
Br (0.539, 0.250, 0.783)
Br (0.683, 0.750, 0.534)
Br (0.817, 0.250, 0.034)
Br (0.961, 0.750, 0.283)

Summary:
electronic total energy = -38.5 eV per cell
D(E_F) = 0.0 states/eV per cell